Entry P
## AcDy2Zr (PBE)

Data for a relaxed structure of AcDy2Zr.

M_tot = 0.00 μB per formula unit

abc: 3.576 3.576 11.710
angles: 81.22 81.22 60.00
Sites, in units of the cell vectors:
Ac1 0.500 0.500 0.499
Dy1 0.075 0.075 0.776
Dy2 0.258 0.258 0.224
Zr1 0.666 0.666 0.001

---

Entry Q
## AcDy2Zr (PBE)

Data for a relaxed structure of AcDy2Zr.

M_tot = 0.00 μB per formula unit

abc: 3.485 3.485 12.417
angles: 81.93 81.93 60.00
Sites, in units of the cell vectors:
Ac1 0.500 0.500 0.500
Zr1 0.000 0.000 0.000
Dy1 0.084 0.084 0.748
Dy2 0.916 0.916 0.252

---

Result of the stability comparison: entry Q is the least stable of them.

---

Entry P
## AcEr2 (PBE)

Data for a relaxed structure of AcEr2.

M_tot = 2.85 μB per formula unit

abc: 6.832 6.832 6.832
angles: 60.00 60.00 60.00
Last column: magnetic moment on the atom in μB.
Sites, in units of the cell vectors:
Ac1 0.000 0.000 0.000  0.36
Ac2 0.250 0.250 0.250  0.36
Er1 0.125 0.625 0.625  0.61
Er2 0.625 0.125 0.625  0.61
Er3 0.625 0.625 0.625  0.61
Er4 0.625 0.625 0.125  0.61

---

Entry Q
## AcEr2 (PBE)

Data for a relaxed structure of AcEr2.

M_tot = 0.00 μB per formula unit

abc: 3.707 3.707 8.068
angles: 103.28 103.28 90.00
Sites, in units of the cell vectors:
Ac1 0.000 0.000 0.000
Er1 0.674 0.674 0.347
Er2 0.326 0.326 0.653

---

Result of the stability comparison: entry P is the least stable of them.

---

Entry P
## Ac2Er (PBE)

Data for a relaxed structure of Ac2Er.

M_tot = 0.00 μB per formula unit

abc: 3.893 3.893 8.367
angles: 103.45 103.45 90.00
Sites, in units of the cell vectors:
Ac1 0.659 0.659 0.319
Ac2 0.341 0.341 0.681
Er1 0.000 0.000 0.000

---

Entry Q
## Ac2Er (PBE)

Data for a relaxed structure of Ac2Er.

M_tot = 0.00 μB per formula unit

abc: 7.112 7.112 7.112
angles: 60.00 60.00 60.00
Sites, in units of the cell vectors:
Ac1 0.125 0.625 0.625
Ac2 0.625 0.125 0.625
Ac3 0.625 0.625 0.625
Ac4 0.625 0.625 0.125
Er1 0.000 0.000 0.000
Er2 0.250 0.250 0.250

---

Result of the stability comparison: entry Q is the least stable of them.

---

Entry P
## Ac4Er (PBE)

Data for a relaxed structure of Ac4Er.

M_tot = 0.00 μB per formula unit

abc: 6.252 6.252 6.252
angles: 90.00 90.00 90.00
Sites, in units of the cell vectors:
Ac1 0.000 0.000 0.000
Ac2 0.500 0.000 0.500
Ac3 0.000 0.500 0.500
Ac4 0.500 0.500 0.000
Er1 0.500 0.500 0.500

---

Entry Q
## Ac4Er (PBE)

Data for a relaxed structure of Ac4Er.

M_tot = 0.00 μB per formula unit

abc: 4.065 7.510 7.510
angles: 85.80 74.30 74.30
Sites, in units of the cell vectors:
Ac1 0.220 0.194 0.366
Ac2 0.586 0.634 0.194
Ac3 0.780 0.806 0.634
Ac4 0.414 0.366 0.806
Er1 0.000 0.000 0.000

---

Result of the stability comparison: entry P is the least stable of them.